(1)
Computed, not measured: CdNiBr2 at its PBEsol-relaxed geometry at the meta-GGA SCAN level of DFT.

The structure belongs to space group Pmmm (No. 47); the cell edges are 3.6731, 3.8704 and 6.1071 Å and the angles 90.00°, 90.00° and 90.00°. The inequivalent atoms are Cd at (0.0000, 0.0000, 0.0000), Ni at (0.5000, 0.0000, 0.5000), Br at (0.0000, 0.5000, 0.5000) and Br at (0.5000, 0.5000, 0.0000).

The calculation puts the distance to the lowest polymorph of the same formula at 1.35 eV per formula unit. For the energy, the calculation gives -1.5627 Ry per atom. The energy relative to the elements, uncorrected is 0.11 eV/atom. As for the density of states at the Fermi level: 1.63 states/eV/cell.

=====

(2)
Computed, not measured: ScCoSi2 at its PBEsol-relaxed geometry at the meta-GGA SCAN level of DFT.

The structure belongs to space group R-3m (No. 166, hexagonal axes); the cell edges are 3.8002, 3.8002 and 13.6920 Å and the angles 90.00°, 90.00° and 120.00°. The inequivalent atoms are Sc at (0.0000, 0.0000, 0.0000), Co at (0.0000, 0.0000, 0.5000) and Si at (0.0000, 0.0000, 0.2132).

For the energy, the calculation gives -0.9957 Ry per atom. The energy relative to the elements, uncorrected is -0.65 eV/atom. As for the density of states at the Fermi level: 5.22 states/eV/cell.

=====

(3)
Computed, not measured: TiNbS2 at its PBEsol-relaxed geometry at the meta-GGA SCAN level of DFT.

The structure belongs to space group R-3m (No. 166, hexagonal axes); the cell edges are 3.1394, 3.1394 and 24.0186 Å and the angles 90.00°, 90.00° and 120.00°. The inequivalent atoms are Ti at (0.0000, 0.0000, 0.0000), Nb at (0.0000, 0.0000, 0.5000) and S at (0.0000, 0.0000, 0.3982).

The calculation puts the distance to the lowest polymorph of the same formula at 0.00 eV per formula unit. For the energy, the calculation gives -1.3141 Ry per atom. The energy relative to the elements, uncorrected is -0.77 eV/atom. As for the density of states at the Fermi level: 12.86 states/eV/cell.